Here is a geometry-optimized ThPbF6 structure from the Alexandria database. Energies are from PBE.

Summary:
DOS at the Fermi energy: 0.0 states/eV/cell
Total magnetic moment: 0.0 μB/f.u.
Symmetry: P4_2/m
ΔE_f (raw): -3.4881 eV/atom

Unit cell a=5.758 b=5.758 c=8.341 alpha=90.00 beta=90.00 gamma=90.00
Positions (direct):
Pb (0.000, 0.000, 0.000)
Pb (0.000, 0.000, 0.500)
F (0.746, 0.210, 0.814)
Th (0.500, 0.500, 0.750)
F (0.210, 0.254, 0.686)
F (0.675, 0.650, 0.000)
Th (0.500, 0.500, 0.250)
F (0.350, 0.675, 0.500)
F (0.650, 0.325, 0.500)
F (0.254, 0.790, 0.814)
F (0.325, 0.350, 0.000)
F (0.790, 0.746, 0.686)
F (0.210, 0.254, 0.314)
F (0.254, 0.790, 0.186)
F (0.746, 0.210, 0.186)
F (0.790, 0.746, 0.314)



Here is a geometry-optimized PPbSCl2 structure from the Alexandria database. Energies are from PBE.

Summary:
DOS at the Fermi energy: 2.6 states/eV/cell
Polymorph energy (0 for the lowest one): 3.47 eV per formula unit
Total magnetic moment: 2.1 μB/f.u.
Symmetry: P4/mmm
ΔE_f (raw): 0.5833 eV/atom

Unit cell a=5.344 b=5.344 c=5.740 alpha=90.00 beta=90.00 gamma=90.00
Site moments in Bohr magnetons follow the coordinates.
Positions (direct):
Pb (0.000, 0.000, 0.000)  0.01
P (0.000, 0.000, 0.500)  0.61
Cl (0.500, 0.000, 0.000)  0.04
Cl (0.000, 0.500, 0.000)  0.04
S (0.500, 0.500, 0.500)  0.35